#w
4
Lattice="3.066 0.000 0.000 0.000 4.851 0.000 0.000 0.000 4.747" Properties=species:S:1:pos:R:3 comment="BaMnTc2 | Alexandria via LeMat-Bulk | PBEsol | relaxed" spacegroup="No. 47" volume_a3_per_atom=17.7 total_magnetization_mub_per_atom=0.73 pbc="T T T"
Tc 1.533 2.426 0.000
Tc 0.000 0.000 0.000
Ba 1.533 0.000 2.374
Mn 0.000 2.426 2.374

#x
4
Lattice="-2.711 1.345 3.478 1.292 -0.766 4.358 1.271 3.528 2.681" Properties=species:S:1:pos:R:3 comment="BaMnTc2 | Alexandria via LeMat-Bulk | PBEsol | relaxed" spacegroup="No. 225" volume_a3_per_atom=17.3 total_magnetization_mub_per_atom=0.52 pbc="T T T"
Tc -0.111 3.080 7.888
Tc -0.037 1.027 2.629
Mn 0.000 0.000 0.000
Ba -0.074 2.053 5.259

Which of them is most stable, and which least? Most stable: #x; least stable: #w.

#w
3
Lattice="3.636 0.000 0.000 -1.818 3.148 0.000 0.000 0.000 7.983" Properties=species:S:1:pos:R:3 comment="BaYMn | Alexandria via LeMat-Bulk | PBEsol | relaxed" spacegroup="No. 156" volume_a3_per_atom=30.5 total_magnetization_mub_per_atom=1.07 pbc="T T T"
Y 1.818 1.049 3.119
Ba 0.000 0.000 7.675
Mn 0.000 2.099 5.172

#x
3
Lattice="-1.935 -2.877 3.811 0.594 -5.117 -0.079 3.163 -2.278 3.369" Properties=species:S:1:pos:R:3 comment="BaYMn | Alexandria via LeMat-Bulk | PBEsol | relaxed" spacegroup="No. 216" volume_a3_per_atom=32.2 total_magnetization_mub_per_atom=0.80 pbc="T T T"
Mn 1.367 -7.704 5.326
Ba 0.911 -5.136 3.551
Y 0.000 0.000 0.000

Which of them is most stable, and which least? Most stable: #w; least stable: #x.

#w
4
Lattice="3.551 0.000 0.000 0.000 3.551 0.000 0.000 0.000 7.027" Properties=species:S:1:pos:R:3 comment="BaZrMn2 | Alexandria via LeMat-Bulk | PBEsol | relaxed" spacegroup="No. 123" volume_a3_per_atom=22.2 total_magnetization_mub_per_atom=0.00 pbc="T T T"
Mn 0.000 0.000 6.040
Mn 0.000 0.000 0.987
Ba 1.776 1.776 3.514
Zr 1.776 1.776 0.000

#x
4
Lattice="-1.622 1.403 -2.241 1.830 -1.300 -2.141 -5.397 -6.909 -0.420" Properties=species:S:1:pos:R:3 comment="BaZrMn2 | Alexandria via LeMat-Bulk | PBEsol | relaxed" spacegroup="No. 99" volume_a3_per_atom=21.1 total_magnetization_mub_per_atom=0.18 pbc="T T T"
Ba -1.049 -1.424 -2.280
Zr -3.146 -4.027 -0.245
Mn -4.176 -5.427 -2.524
Mn -4.914 -6.290 -0.383

Which of them is most stable, and which least? Most stable: #x; least stable: #w.

#w
4
Lattice="-2.946 0.914 0.334 -1.763 -1.233 2.235 1.259 6.800 6.898" Properties=species:S:1:pos:R:3 comment="BaMo3 | Alexandria via LeMat-Bulk | PBEsol | relaxed" spacegroup="No. 166" volume_a3_per_atom=20.0 total_magnetization_mub_per_atom=0.00 pbc="T T T"
Ba 0.000 0.000 0.000
Mo -2.741 4.484 6.771
Mo -0.708 1.997 2.696
Mo -1.725 3.240 4.734

#x
4
Lattice="4.236 0.000 0.000 0.000 4.236 0.000 0.000 0.000 4.236" Properties=species:S:1:pos:R:3 comment="BaMo3 | Alexandria via LeMat-Bulk | PBEsol | relaxed" spacegroup="No. 221" volume_a3_per_atom=19.0 total_magnetization_mub_per_atom=0.14 pbc="T T T"
Ba 0.000 0.000 0.000
Mo 2.118 2.118 0.000
Mo 2.118 0.000 2.118
Mo 0.000 2.118 2.118

Which of them is most stable, and which least? Most stable: #w; least stable: #x.

#w
6
Lattice="3.700 0.000 0.000 -1.850 7.334 -0.074 0.000 -3.423 7.201" Properties=species:S:1:pos:R:3 comment="BaMo | Alexandria via LeMat-Bulk | PBEsol | relaxed" spacegroup="No. 8" volume_a3_per_atom=32.4 total_magnetization_mub_per_atom=0.00 pbc="T T T"
Mo 0.000 3.668 3.759
Mo 1.850 5.073 2.790
Mo 0.000 4.019 1.443
Ba 1.850 2.873 6.578
Ba 1.850 1.190 2.339
Ba 1.850 -0.772 5.622

#x
4
Lattice="3.241 0.000 0.000 0.000 4.383 0.000 0.000 0.000 8.952" Properties=species:S:1:pos:R:3 comment="BaMo | Alexandria via LeMat-Bulk | PBEsol | relaxed" spacegroup="No. 51" volume_a3_per_atom=31.8 total_magnetization_mub_per_atom=0.00 pbc="T T T"
Mo 1.620 3.287 0.381
Mo 1.620 1.096 8.572
Ba 0.000 3.287 6.337
Ba 0.000 1.096 2.615

Which of them is most stable, and which least? Most stable: #w; least stable: #x.

#w
4
Lattice="-2.511 0.366 -1.750 -2.767 -0.311 3.906 0.287 4.753 0.582" Properties=species:S:1:pos:R:3 comment="BaMo2Os | Alexandria via LeMat-Bulk | PBEsol | relaxed" spacegroup="No. 123" volume_a3_per_atom=17.7 total_magnetization_mub_per_atom=0.00 pbc="T T T"
Os -2.496 2.404 1.369
Mo -1.384 -0.156 1.953
Mo 0.144 2.377 0.291
Ba -1.256 0.183 -0.875

#x
4
Lattice="2.891 0.005 0.000 -0.071 2.890 0.000 0.000 0.000 9.297" Properties=species:S:1:pos:R:3 comment="BaMo2Os | Alexandria via LeMat-Bulk | PBEsol | relaxed" spacegroup="No. 65" volume_a3_per_atom=19.4 total_magnetization_mub_per_atom=0.00 pbc="T T T"
Mo 0.000 0.000 2.896
Mo 0.000 0.000 6.401
Ba 1.410 1.447 0.000
Os 1.410 1.447 4.649

Which of them is most stable, and which least? Most stable: #x; least stable: #w.

#w
4
Lattice="4.607 0.000 0.000 0.000 4.607 0.000 -2.303 -2.303 5.214" Properties=species:S:1:pos:R:3 comment="Ba2MoPt | Alexandria via LeMat-Bulk | PBEsol | relaxed" spacegroup="No. 119" volume_a3_per_atom=27.7 total_magnetization_mub_per_atom=0.95 pbc="T T T"
Pt 0.000 2.303 2.607
Mo 2.303 2.303 0.000
Ba 0.000 0.000 0.000
Ba 2.303 0.000 2.607

#x
4
Lattice="-1.215 2.560 2.556 2.284 -1.548 2.636 5.834 4.928 -2.161" Properties=species:S:1:pos:R:3 comment="Ba2MoPt | Alexandria via LeMat-Bulk | PBEsol | relaxed" spacegroup="No. 123" volume_a3_per_atom=28.9 total_magnetization_mub_per_atom=0.92 pbc="T T T"
Ba 4.235 3.578 -1.569
Ba 1.598 1.350 -0.592
Mo 0.534 0.506 2.596
Pt 3.451 2.970 1.515

Which of them is most stable, and which least? Most stable: #x; least stable: #w.

#w
4
Lattice="-1.546 2.698 0.751 -1.526 -1.531 2.358 5.749 1.914 4.964" Properties=species:S:1:pos:R:3 comment="BaMo2Rh | Alexandria via LeMat-Bulk | PBEsol | relaxed" spacegroup="No. 99" volume_a3_per_atom=20.0 total_magnetization_mub_per_atom=0.00 pbc="T T T"
Rh 2.496 0.831 2.155
Mo -0.137 1.049 2.762
Mo 0.458 0.153 0.396
Ba 2.734 2.005 5.241

#x
4
Lattice="-1.356 2.835 -0.061 -0.647 -0.208 4.683 6.074 1.228 0.894" Properties=species:S:1:pos:R:3 comment="BaMo2Rh | Alexandria via LeMat-Bulk | PBEsol | relaxed" spacegroup="No. 10" volume_a3_per_atom=22.6 total_magnetization_mub_per_atom=0.00 pbc="T T T"
Rh -1.001 1.313 2.311
Mo 0.450 1.015 0.107
Mo 4.268 3.047 0.725
Ba 2.714 0.510 2.789

Which of them is most stable, and which least? Most stable: #w; least stable: #x.